# 1
First-principles (PBE-GGA) data for crystalline Si2NiRh at its relaxed geometry, as listed in Alexandria via LeMat-Bulk.

- Energy relative to the elements, uncorrected: -0.060 eV/atom
- N(E_F): 0.449 states/eV/atom
- Uncorrected energy: -24.217 eV per formula unit

Unit cell a=5.925 b=5.925 c=5.925 alpha=90.00 beta=90.00 gamma=90.00
Element x y z (fractional)
Si: 0.000 0.000 0.000
Si: 0.000 0.500 0.500
Si: 0.250 0.250 0.250
Si: 0.250 0.750 0.750
Si: 0.500 0.000 0.500
Si: 0.500 0.500 0.000
Si: 0.750 0.250 0.750
Si: 0.750 0.750 0.250
Ni: 0.000 0.000 0.500
Ni: 0.000 0.500 0.000
Ni: 0.500 0.000 0.000
Ni: 0.500 0.500 0.500
Rh: 0.250 0.250 0.750
Rh: 0.250 0.750 0.250
Rh: 0.750 0.250 0.250
Rh: 0.750 0.750 0.750


# 2
First-principles (PBE-GGA) data for crystalline Dy4Ir2Se at its relaxed geometry, as listed in Alexandria via LeMat-Bulk.

- Energy relative to the elements, uncorrected: -0.967 eV/atom
- N(E_F): 0.745 states/eV/atom
- Uncorrected energy: -46.384 eV per formula unit

Unit cell a=7.564 b=7.564 c=7.564 alpha=109.54 beta=109.54 gamma=109.33
Element x y z (fractional)
Dy: 0.007 0.758 0.115
Dy: 0.107 0.492 0.749
Dy: 0.109 0.993 0.751
Dy: 0.242 0.357 0.249
Dy: 0.508 0.257 0.615
Dy: 0.641 0.893 0.385
Dy: 0.643 0.891 0.885
Dy: 0.743 0.359 0.251
Ir: 0.375 0.011 0.136
Ir: 0.761 0.625 0.636
Ir: 0.875 0.239 0.864
Ir: 0.989 0.125 0.364
Se: 0.250 0.750 0.500
Se: 0.500 0.500 0.000


# 3
First-principles (PBE-GGA) data for crystalline Ti2Be2Sb at its relaxed geometry, as listed in Alexandria via LeMat-Bulk.

- Energy relative to the elements, uncorrected: -0.238 eV/atom
- N(E_F): 0.459 states/eV/atom
- ΔE to the lowest computed polymorph: 0 meV/atom
- Uncorrected energy: -28.553 eV per formula unit

Unit cell a=6.223 b=6.223 c=3.667 alpha=90.00 beta=90.00 gamma=90.00
Element x y z (fractional)
Ti: 0.171 0.329 0.000
Ti: 0.329 0.829 0.000
Ti: 0.671 0.171 0.000
Ti: 0.829 0.671 0.000
Be: 0.115 0.615 0.500
Be: 0.385 0.115 0.500
Be: 0.615 0.885 0.500
Be: 0.885 0.385 0.500
Sb: 0.000 0.000 0.500
Sb: 0.500 0.500 0.500


# 4
First-principles (PBE-GGA) data for crystalline Sr3Au2 at its relaxed geometry, as listed in Alexandria via LeMat-Bulk.

- N(E_F): 0.513 states/eV/atom
- ΔE to the lowest computed polymorph: 0 meV/atom
- Uncorrected energy: -14.976 eV per formula unit
- Formation enthalpy at 0 K: -0.675 eV/atom

Unit cell a=8.370 b=8.370 c=8.370 alpha=70.85 beta=70.85 gamma=70.85
Element x y z (fractional)
Sr: 0.000 0.000 0.000
Sr: 0.156 0.397 0.668
Sr: 0.200 0.200 0.200
Sr: 0.332 0.844 0.603
Sr: 0.397 0.668 0.156
Sr: 0.603 0.332 0.844
Sr: 0.668 0.156 0.397
Sr: 0.800 0.800 0.800
Sr: 0.844 0.603 0.332
Au: 0.046 0.841 0.409
Au: 0.159 0.591 0.954
Au: 0.409 0.046 0.841
Au: 0.591 0.954 0.159
Au: 0.841 0.409 0.046
Au: 0.954 0.159 0.591


Question: Among the records above, which one has the lowest N(E_F)?
Answer: Si2NiRh


Question: Which value of uncorrected energy does entry 2 give?
Answer: -46.384 eV per formula unit